Density functional theory data (PBE) for a relaxed structure of NaInI2F.

Summary:
SG: No. 123
Formation energy (no corrections), eV/atom: -1.167

a = 6.1348 Å, b = 6.1348 Å, c = 4.4789 Å
α = 90.00°, β = 90.00°, γ = 90.00°
Last column: nearest neighbours and their distance in Å.
Positions (direct):
1 I 0.0000 0.5000 0.0000  2 In 3.07
2 I 0.5000 0.0000 0.0000  2 In 3.07
3 Na 0.5000 0.5000 0.5000  8 I 3.80
4 F 0.0000 0.0000 0.5000  2 In 2.24
5 In 0.0000 0.0000 0.0000  2 F 2.24